Entry 1:
# SrCaAcNd

A relaxed structure of SrCaAcNd (PBE-GGA, Alexandria).

* E above lowest polymorph: 63 meV/atom
* E: -3.020 eV/atom

Lattice parameters (Å, degrees): 6.231 6.231 6.231 60.00 60.00 60.00
Fractional coordinates of all 4 atoms:
Sr1 0.250 0.250 0.250
Ac1 0.000 0.000 0.000
Nd1 0.750 0.750 0.750
Ca1 0.500 0.500 0.500


Entry 2:
# CaAc2Nd3Te6

A relaxed structure of CaAc2Nd3Te6 (PBE-GGA, Alexandria).

* E: -5.088 eV/atom
* uncorrected formation energy: -1.4736 eV/atom

Lattice parameters (Å, degrees): 4.551 9.229 10.248 103.08 102.83 90.00
Fractional coordinates of all 12 atoms:
Ca1 0.500 0.000 0.000
Ac1 0.832 0.665 0.664
Ac2 0.168 0.335 0.336
Nd1 0.500 0.500 0.000
Nd2 0.828 0.167 0.657
Nd3 0.172 0.833 0.343
Te1 0.338 0.929 0.675
Te2 0.662 0.591 0.324
Te3 0.662 0.071 0.325
Te4 0.996 0.245 0.992
Te5 0.004 0.755 0.008
Te6 0.338 0.409 0.676


Entry 3:
# CaAc2NdTe5

A relaxed structure of CaAc2NdTe5 (PBE-GGA, Alexandria).

* E: -4.476 eV/atom
* uncorrected formation energy: -1.0653 eV/atom

Lattice parameters (Å, degrees): 5.715 5.715 11.732 90.00 90.00 90.00
Fractional coordinates of all 9 atoms:
Ca1 0.000 0.000 0.000
Ac1 0.500 0.500 0.303
Ac2 0.500 0.500 0.697
Nd1 0.000 0.000 0.500
Te1 0.000 0.500 0.500
Te2 0.500 0.000 0.500
Te3 0.000 0.000 0.757
Te4 0.000 0.000 0.243
Te5 0.500 0.500 0.000


Entry 4:
# CaAc3Nd2Te6

A relaxed structure of CaAc3Nd2Te6 (PBE-GGA, Alexandria).

* E: -5.048 eV/atom
* uncorrected formation energy: -1.4887 eV/atom

Lattice parameters (Å, degrees): 4.599 9.274 10.326 102.99 102.87 90.00
Fractional coordinates of all 12 atoms:
Ca1 0.500 0.000 0.000
Ac1 0.500 0.500 0.000
Ac2 0.831 0.167 0.662
Ac3 0.169 0.833 0.338
Nd1 0.829 0.659 0.658
Nd2 0.171 0.341 0.342
Te1 0.339 0.909 0.679
Te2 0.668 0.576 0.335
Te3 0.661 0.091 0.321
Te4 0.004 0.238 0.007
Te5 0.996 0.762 0.993
Te6 0.332 0.424 0.665


For each record above, in turn, the calculated total magnetic moment values are 0.000, 0.000, 0.002, 0.000 Bohr magnetons per cell.